Material: Li6PmCu6
Method: DFT, GGA-PBE
State: relaxed

Summary:
energy of formation from the pure elements	-62	meV/atom
energy	-3.202	eV/atom
space group	Immm

Cell: 6.7357 6.7357 6.7357 Å, 136.38 98.34 97.53°
Sites, in units of the cell vectors:
Li: 0.1413 0.1413 0.0000
Li: 0.1535 0.5000 0.6535
Li: 0.2890 0.7890 0.5000
Li: 0.7110 0.2110 0.5000
Li: 0.8465 0.5000 0.3465
Li: 0.8587 0.8587 0.0000
Pm: 0.5000 0.5000 0.0000
Cu: 0.0000 0.0000 0.5000
Cu: 0.0000 0.5000 0.0000
Cu: 0.2808 0.0000 0.2808
Cu: 0.5000 0.0000 0.0000
Cu: 0.5000 0.5000 0.5000
Cu: 0.7192 0.0000 0.7192